w | VASP calculation (PBE-GGA) on LaCe2Tm after structural relaxation.

```
4
Lattice="-3.114 3.559 -1.939 -3.728 -3.216 0.082 -1.163 1.464 4.555" Properties=species:S:1:pos:R:3 pbc="T T T"
Ce -1.864 -1.608 0.041
Ce -0.582 0.732 2.278
Tm -4.002 0.903 1.349
La -1.557 1.780 -0.969
```

---

x | VASP calculation (PBE-GGA) on LaCe2Tm after structural relaxation.

```
4
Lattice="5.694 0.000 0.000 2.847 4.931 0.000 2.847 1.644 4.649" Properties=species:S:1:pos:R:3 pbc="T T T"
Tm 0.000 0.000 0.000
La 5.694 3.287 2.325
Ce 8.541 4.931 3.487
Ce 2.847 1.644 1.162
```

---

y | VASP calculation (PBE-GGA) on LaCe2Tm after structural relaxation.

```
4
Lattice="3.478 0.000 0.000 0.000 3.478 0.000 0.000 0.000 10.100" Properties=species:S:1:pos:R:3 pbc="T T T"
Tm 1.739 1.739 5.050
Ce 0.000 0.000 7.544
Ce 0.000 0.000 2.556
La 1.739 1.739 0.000
```

---

z | VASP calculation (PBE-GGA) on LaCe2Tm after structural relaxation.

```
4
Lattice="3.371 0.000 0.000 1.686 2.920 0.000 1.686 0.973 12.219" Properties=species:S:1:pos:R:3 pbc="T T T"
Ce 1.686 0.973 9.016
Ce 5.057 2.920 3.203
Tm 3.371 1.946 6.110
La 0.000 0.000 0.000
```

---

Quick one: least stable of them? x